VASP calculation (PBE+U) on an optimized crystal structure of CrP2OF.

Cell and atoms, written as POSCAR:
```
CrP2OF
1.0
3.9857 0.0000 0.0000
0.0000 3.9857 0.0000
0.0000 0.0000 4.5948
Cr F O P
1 1 1 2
direct
0.5000 0.5000 0.5000
0.0000 0.0000 0.0000
0.0000 0.0000 0.5000
0.0000 0.5000 0.0000
0.5000 0.0000 0.0000
```

Calculated values
The uncorrected energy is -4.47 eV/atom. Its space group is P4/mmm (123). Its crystal system is tetragonal. As for the volume: 72.99 Å³ per cell. Its density of states at the Fermi level is 0.601 states/eV/atom. As for the spin magnetization: 2.4 μB per formula unit.